[1]
{
  "formula": "BaAsAu2",
  "functional": "PBE",
  "state": "optimized geometry",
  "vol_a3_per_atom": 27.653,
  "ef_ev_per_atom": -0.1667,
  "total_energy_ha_per_atom": -0.12673,
  "dos_at_fermi_per_ev_cell": 8.4,
  "cell": [[6.232, 0.000, 0.000], [0.000, 7.508, 0.000], [0.000, 0.000, 9.457]],
  "species": ["Ba", "Ba", "Ba", "Ba", "As", "As", "As", "As", "Au", "Au", "Au", "Au", "Au", "Au", "Au", "Au"],
  "frac_coords": [[0.000, 0.000, 0.000], [0.000, 0.500, 0.500], [0.500, 0.000, 0.500], [0.500, 0.500, 0.000], [0.000, 0.000, 0.500], [0.000, 0.500, 0.000], [0.500, 0.000, 0.000], [0.500, 0.500, 0.500], [0.000, 0.250, 0.250], [0.000, 0.250, 0.750], [0.000, 0.750, 0.250], [0.000, 0.750, 0.750], [0.500, 0.250, 0.250], [0.500, 0.250, 0.750], [0.500, 0.750, 0.250], [0.500, 0.750, 0.750]]
}


[2]
{
  "formula": "CsHPdO2",
  "functional": "PBE",
  "state": "optimized geometry",
  "vol_a3_per_atom": 17.339,
  "total_energy_ha_per_atom": -0.17300,
  "cell": [[5.458, 0.000, 0.000], [0.000, 5.025, 0.000], [-0.809, 0.000, 6.322]],
  "species": ["Cs", "Cs", "H", "H", "Pd", "Pd", "O", "O", "O", "O"],
  "frac_coords": [[0.000, 0.150, 0.250], [0.000, 0.850, 0.750], [0.500, 0.000, 0.000], [0.500, 0.000, 0.500], [0.500, 0.492, 0.750], [0.500, 0.508, 0.250], [0.471, 0.240, 0.999], [0.471, 0.760, 0.499], [0.529, 0.240, 0.501], [0.529, 0.760, 0.001]]
}